Arrangement P

First-principles (PBE) data for Li2BiSbH after structural relaxation, as listed in Alexandria.

```
Li2BiSbH
1.0
-1.627 4.348 0.958
-3.168 -0.414 -3.501
-2.851 -1.679 2.778
Bi H Li Sb
1 1 2 1
Direct
0.500 0.500 0.500 Bi
0.000 0.000 0.000 H
0.000 0.500 0.000 Li
0.500 0.000 0.000 Li
0.000 0.000 0.500 Sb
```

Output
V: 19.41 Å³/atom

Arrangement Q

First-principles (PBE) data for Li2BiSbH after structural relaxation, as listed in Alexandria.

```
Li2BiSbH
1.0
-0.316 4.070 -2.313
-0.778 -2.332 -3.997
-4.416 0.110 0.795
Bi Li H Sb
1 2 1 1
Direct
0.000 0.000 0.500 Bi
0.500 0.000 0.000 Li
0.000 0.500 0.000 Li
0.000 0.000 0.000 H
0.500 0.500 0.500 Sb
```

Output
V: 19.76 Å³/atom

Relative energy of each structure, in meV per atom: arrangement P 0; arrangement Q 5.

Arrangement P

First-principles (PBE) data for Li2TlBiH after structural relaxation, as listed in Alexandria.

```
Li2TlBiH
1.0
-1.698 2.621 -3.620
-3.360 -3.302 -0.814
-2.695 2.063 2.758
Li Bi H Tl
2 1 1 1
Direct
0.000 0.500 0.000 Li
0.500 0.000 0.000 Li
0.000 0.000 0.500 Bi
0.000 0.000 0.000 H
0.500 0.500 0.500 Tl
```

Output
V: 19.99 Å³/atom

Arrangement Q

First-principles (PBE) data for Li2TlBiH after structural relaxation, as listed in Alexandria.

```
Li2TlBiH
1.0
4.487 0.000 0.000
0.000 4.487 0.000
0.000 0.000 4.934
Bi Li H Tl
1 2 1 1
Direct
0.500 0.500 0.500 Bi
0.000 0.500 0.000 Li
0.500 0.000 0.000 Li
0.000 0.000 0.000 H
0.000 0.000 0.500 Tl
```

Output
V: 19.87 Å³/atom

Relative energy of each structure, in meV per atom: arrangement P 68; arrangement Q 0.

Arrangement P

First-principles (PBE) data for Mg2BiH after structural relaxation, as listed in Alexandria.

```
Mg2BiH
1.0
5.864 0.000 0.000
0.000 8.376 0.000
0.000 0.000 6.682
Bi Mg H
4 8 4
Direct
0.006 0.698 0.328 Bi
0.506 0.302 0.672 Bi
0.506 0.802 0.828 Bi
0.006 0.198 0.172 Bi
0.505 0.606 0.438 Mg
0.256 0.500 0.000 Mg
0.505 0.106 0.062 Mg
0.756 0.000 0.500 Mg
0.756 0.500 0.000 Mg
0.256 0.000 0.500 Mg
0.005 0.894 0.938 Mg
0.005 0.394 0.562 Mg
0.506 0.985 0.316 H
0.006 0.515 0.816 H
0.006 0.015 0.684 H
0.506 0.485 0.184 H
```

Output
V: 20.51 Å³/atom

Arrangement Q

First-principles (PBE) data for Mg2BiH after structural relaxation, as listed in Alexandria.

```
Mg2BiH
1.0
-3.184 1.846 0.258
-2.947 -1.129 -1.911
-3.901 -3.689 4.635
Mg Bi H
2 1 1
Direct
0.279 0.279 0.164 Mg
0.721 0.721 0.836 Mg
0.500 0.500 0.500 Bi
0.000 0.000 0.000 H
```

Output
V: 19.94 Å³/atom

Arrangement R

First-principles (PBE) data for Mg2BiH after structural relaxation, as listed in Alexandria.

```
Mg2BiH
1.0
-3.368 -2.885 2.003
-4.722 0.845 -0.813
-2.570 -3.043 -2.795
H Mg Bi
1 2 1
Direct
0.000 0.000 0.000 H
0.750 0.750 0.750 Mg
0.250 0.250 0.250 Mg
0.500 0.500 0.500 Bi
```

Output
V: 20.37 Å³/atom

Relative energy of each structure, in meV per atom: arrangement P 0; arrangement Q 276; arrangement R 328.

Arrangement P

First-principles (PBE) data for Mg4Bi2H after structural relaxation, as listed in Alexandria.

```
Mg4Bi2H
1.0
-0.014 -0.709 -4.914
-6.072 -0.050 0.024
-0.090 13.637 5.559
Mg Bi H
8 4 2
Direct
0.669 0.498 0.277 Mg
0.371 0.250 0.419 Mg
0.331 0.998 0.723 Mg
0.629 0.750 0.581 Mg
0.380 0.750 0.041 Mg
0.620 0.250 0.959 Mg
0.331 0.502 0.723 Mg
0.669 0.002 0.277 Mg
0.285 0.750 0.348 Bi
0.305 0.250 0.082 Bi
0.695 0.750 0.918 Bi
0.715 0.250 0.652 Bi
0.915 0.250 0.365 H
0.085 0.750 0.635 H
```

Output
V: 27.36 Å³/atom

Arrangement Q

First-principles (PBE) data for Mg4Bi2H after structural relaxation, as listed in Alexandria.

```
Mg4Bi2H
1.0
4.490 0.000 0.000
0.000 4.490 0.000
-2.245 -2.245 7.718
Bi Mg H
2 4 1
Direct
0.359 0.359 0.718 Bi
0.641 0.641 0.282 Bi
0.838 0.838 0.675 Mg
0.162 0.162 0.325 Mg
0.500 0.000 0.000 Mg
0.000 0.500 0.000 Mg
0.000 0.000 0.000 H
```

Output
V: 22.23 Å³/atom

Relative energy of each structure, in meV per atom: arrangement P 62; arrangement Q 0.

Arrangement P

First-principles (PBE) data for Mg3Bi2H after structural relaxation, as listed in Alexandria.

```
Mg3Bi2H
1.0
5.863 0.418 2.770
1.862 5.575 2.770
0.236 0.183 8.783
Bi Mg H
4 6 2
Direct
0.159 0.509 0.669 Bi
0.841 0.491 0.331 Bi
0.509 0.159 0.169 Bi
0.491 0.841 0.831 Bi
0.618 0.382 0.750 Mg
0.966 0.796 0.945 Mg
0.204 0.034 0.555 Mg
0.034 0.204 0.055 Mg
0.796 0.966 0.445 Mg
0.382 0.618 0.250 Mg
0.906 0.094 0.750 H
0.094 0.906 0.250 H
```

Output
V: 22.90 Å³/atom

Arrangement Q

First-principles (PBE) data for Mg3Bi2H after structural relaxation, as listed in Alexandria.

```
Mg3Bi2H
1.0
-5.328 0.102 0.026
-0.106 -4.135 -5.443
2.595 -5.214 6.061
Bi Mg H
4 6 2
Direct
0.660 0.581 0.322 Bi
0.338 0.919 0.678 Bi
0.662 0.081 0.322 Bi
0.340 0.419 0.678 Bi
0.577 0.750 0.000 Mg
0.143 0.817 0.263 Mg
0.857 0.183 0.737 Mg
0.119 0.317 0.263 Mg
0.423 0.250 0.000 Mg
0.881 0.683 0.737 Mg
0.951 0.750 0.000 H
0.049 0.250 0.000 H
```

Output
V: 23.64 Å³/atom

Relative energy of each structure, in meV per atom: arrangement P 7; arrangement Q 0.

Arrangement P

First-principles (PBE) data for MgBi3H after structural relaxation, as listed in Alexandria.

```
MgBi3H
1.0
4.973 0.000 0.000
0.000 4.973 0.000
0.000 0.000 4.973
Mg Bi H
1 3 1
Direct
0.500 0.500 0.500 Mg
0.500 0.000 0.000 Bi
0.000 0.500 0.000 Bi
0.000 0.000 0.500 Bi
0.000 0.000 0.000 H
```

Output
V: 24.60 Å³/atom

Arrangement Q

First-principles (PBE) data for MgBi3H after structural relaxation, as listed in Alexandria.

```
MgBi3H
1.0
5.551 0.000 0.000
0.000 5.551 0.000
0.000 0.000 5.551
Bi H Mg
3 1 1
Direct
0.000 0.500 0.000 Bi
0.500 0.000 0.000 Bi
0.000 0.000 0.500 Bi
0.500 0.500 0.500 H
0.000 0.000 0.000 Mg
```

Output
V: 34.20 Å³/atom

Relative energy of each structure, in meV per atom: arrangement P 0; arrangement Q 609.

Arrangement P

First-principles (PBE) data for MgBiH2 after structural relaxation, as listed in Alexandria.

```
MgBiH2
1.0
0.000 3.074 3.074
3.074 0.000 3.074
3.074 3.074 0.000
Bi H Mg
1 2 1
Direct
0.500 0.500 0.500 Bi
0.750 0.750 0.750 H
0.250 0.250 0.250 H
0.000 0.000 0.000 Mg
```

Output
V: 14.52 Å³/atom

Arrangement Q

First-principles (PBE) data for MgBiH2 after structural relaxation, as listed in Alexandria.

```
MgBiH2
1.0
-4.294 -1.723 -2.979
3.220 -0.332 -4.450
0.429 -5.177 -2.706
Bi H Mg
2 4 2
Direct
0.000 0.000 0.000 Bi
0.750 0.250 0.500 Bi
0.312 0.625 0.250 H
0.875 0.688 0.750 H
0.438 0.125 0.250 H
0.375 0.562 0.750 H
0.250 0.750 0.500 Mg
0.500 0.500 0.000 Mg
```

Output
V: 16.57 Å³/atom

Relative energy of each structure, in meV per atom: arrangement P 396; arrangement Q 0.

Arrangement P

First-principles (PBE) data for Na2MgBiH after structural relaxation, as listed in Alexandria.

```
Na2MgBiH
1.0
-1.451 3.813 -2.751
-4.137 -2.027 -0.627
-1.713 2.253 4.026
Mg H Na Bi
1 1 2 1
Direct
0.500 0.500 0.500 Mg
0.000 0.000 0.000 H
0.000 0.000 0.500 Na
0.500 0.000 0.000 Na
0.000 0.500 0.000 Bi
```

Output
V: 22.52 Å³/atom

Arrangement Q

First-principles (PBE) data for Na2MgBiH after structural relaxation, as listed in Alexandria.

```
Na2MgBiH
1.0
-4.319 -0.427 -1.466
1.524 -0.924 -4.220
0.105 -4.833 1.097
Na H Bi Mg
2 1 1 1
Direct
0.500 0.000 0.000 Na
0.000 0.500 0.000 Na
0.000 0.000 0.000 H
0.500 0.500 0.500 Bi
0.000 0.000 0.500 Mg
```

Output
V: 20.80 Å³/atom

Relative energy of each structure, in meV per atom: arrangement P 232; arrangement Q 0.

Arrangement P

First-principles (PBE) data for Mn2BiH after structural relaxation, as listed in Alexandria.

```
Mn2BiH
1.0
0.000 3.217 3.217
3.217 0.000 3.217
3.217 3.217 0.000
Bi H Mn
1 1 2
Direct
0.500 0.500 0.500 Bi
0.000 0.000 0.000 H
0.750 0.750 0.750 Mn
0.250 0.250 0.250 Mn
```

Output
V: 16.64 Å³/atom

Arrangement Q

First-principles (PBE) data for Mn2BiH after structural relaxation, as listed in Alexandria.

```
Mn2BiH
1.0
-4.311 0.737 -1.499
-1.470 -3.643 2.438
-3.738 1.488 4.352
Bi Mn H
2 4 2
Direct
0.000 0.000 0.000 Bi
0.750 0.250 0.500 Bi
0.375 0.637 0.750 Mn
0.363 0.125 0.250 Mn
0.387 0.625 0.250 Mn
0.875 0.613 0.750 Mn
0.250 0.750 0.500 H
0.500 0.500 0.000 H
```

Output
V: 13.21 Å³/atom

Relative energy of each structure, in meV per atom: arrangement P 299; arrangement Q 0.

Arrangement P

First-principles (PBE) data for MnBi3H after structural relaxation, as listed in Alexandria.

```
MnBi3H
1.0
4.894 0.000 0.000
0.000 4.894 0.000
0.000 0.000 4.894
H Mn Bi
1 1 3
Direct
0.000 0.000 0.000 H
0.500 0.500 0.500 Mn
0.000 0.000 0.500 Bi
0.500 0.000 0.000 Bi
0.000 0.500 0.000 Bi
```

Output
V: 23.44 Å³/atom

Arrangement Q

First-principles (PBE) data for MnBi3H after structural relaxation, as listed in Alexandria.

```
MnBi3H
1.0
5.098 0.000 0.000
0.000 5.098 0.000
0.000 0.000 5.098
H Bi Mn
1 3 1
Direct
0.500 0.500 0.500 H
0.000 0.000 0.500 Bi
0.000 0.500 0.000 Bi
0.500 0.000 0.000 Bi
0.000 0.000 0.000 Mn
```

Output
V: 26.50 Å³/atom

Relative energy of each structure, in meV per atom: arrangement P 0; arrangement Q 291.

Arrangement P

First-principles (PBE) data for Mn3BiH after structural relaxation, as listed in Alexandria.

```
Mn3BiH
1.0
-3.186 -1.931 1.319
2.327 -2.391 2.119
-0.238 2.485 3.064
Mn Bi H
3 1 1
Direct
0.000 0.500 0.000 Mn
0.000 0.000 0.500 Mn
0.500 0.000 0.000 Mn
0.500 0.500 0.500 Bi
0.000 0.000 0.000 H
```

Output
V: 12.35 Å³/atom

Arrangement Q

First-principles (PBE) data for Mn3BiH after structural relaxation, as listed in Alexandria.

```
Mn3BiH
1.0
5.267 0.000 0.000
0.000 5.267 0.000
0.000 0.000 5.267
Mn H Bi
3 1 1
Direct
0.500 0.000 0.000 Mn
0.000 0.500 0.000 Mn
0.000 0.000 0.500 Mn
0.500 0.500 0.500 H
0.000 0.000 0.000 Bi
```

Output
V: 29.22 Å³/atom

Relative energy of each structure, in meV per atom: arrangement P 0; arrangement Q 1374.

Arrangement P

First-principles (PBE) data for MnBi2H2 after structural relaxation, as listed in Alexandria.

```
MnBi2H2
1.0
6.597 0.000 0.000
0.000 6.597 0.000
0.000 0.000 3.465
Bi H Mn
4 4 2
Direct
0.669 0.831 0.500 Bi
0.169 0.669 0.500 Bi
0.331 0.169 0.500 Bi
0.831 0.331 0.500 Bi
0.680 0.180 0.000 H
0.820 0.680 0.000 H
0.320 0.820 0.000 H
0.180 0.320 0.000 H
0.500 0.500 0.000 Mn
0.000 0.000 0.000 Mn
```

Output
V: 15.08 Å³/atom

Arrangement Q

First-principles (PBE) data for MnBi2H2 after structural relaxation, as listed in Alexandria.

```
MnBi2H2
1.0
-3.098 3.643 0.730
-3.490 -2.527 -2.197
-4.173 -0.778 2.198
Bi H Mn
2 2 1
Direct
0.750 0.250 0.500 Bi
0.250 0.750 0.500 Bi
0.558 0.558 0.884 H
0.442 0.442 0.116 H
0.000 0.000 0.000 Mn
```

Output
V: 15.63 Å³/atom

Relative energy of each structure, in meV per atom: arrangement P 375; arrangement Q 0.